Entry from the Alexandria database: Mg8SnAu2 after structural relaxation (PBE).

Properties
Crystal system: triclinic
ΔE to the lowest computed polymorph (meV/atom): 0
Formation energy from the elements (eV/atom): -0.299
SG: P1
DFT total energy (eV/cell): -26.606

Unit cell a=4.791 b=6.793 c=8.262 alpha=113.96 beta=105.85 gamma=91.09
Atoms (fractional coordinates):
Mg: 0.000 0.000 0.000
Mg: 0.036 0.485 0.075
Mg: 0.137 0.335 0.412
Mg: 0.376 0.822 0.746
Mg: 0.413 0.412 0.822
Mg: 0.579 0.893 0.179
Mg: 0.672 0.615 0.411
Mg: 0.809 0.124 0.641
Sn: 0.189 0.907 0.410
Au: 0.546 0.240 0.084
Au: 0.878 0.567 0.737